Entry 1:
# ThSiPd, optimized geometry, DFT PBE
data_ThSiPd
_cell_length_a 4.040
_cell_length_b 4.040
_cell_length_c 5.072
_cell_angle_alpha 113.47
_cell_angle_beta 113.47
_cell_angle_gamma 90.00
_space_group_name_H-M_alt 'P 1'
_space_group_IT_number 1
loop_
_space_group_symop_operation_xyz
'x,y,z'
loop_
_atom_site_label
_atom_site_fract_x
_atom_site_fract_y
_atom_site_fract_z
Si1 0.969 0.969 0.937
Th1 0.618 0.618 0.236
Pd1 0.263 0.263 0.527
# **SG**: I4mm
# **ΔE_f (raw)**: -0.364 eV per atom

***

Entry 2:
# Ba5Hg2HAu, optimized geometry, DFT PBE
data_Ba5Hg2HAu
_cell_length_a 4.617
_cell_length_b 10.789
_cell_length_c 14.831
_cell_angle_alpha 90.00
_cell_angle_beta 90.00
_cell_angle_gamma 102.35
_space_group_name_H-M_alt 'P 1'
_space_group_IT_number 1
loop_
_space_group_symop_operation_xyz
'x,y,z'
loop_
_atom_site_label
_atom_site_fract_x
_atom_site_fract_y
_atom_site_fract_z
Ba1 0.342 0.684 0.021
Ba2 0.681 0.362 0.877
Ba3 0.506 0.012 0.752
Ba4 0.305 0.611 0.693
Ba5 0.970 0.939 0.488
Ba6 0.658 0.316 0.521
Ba7 0.319 0.638 0.377
Ba8 0.494 0.988 0.252
Ba9 0.695 0.389 0.193
Ba10 0.030 0.061 0.988
Hg1 0.885 0.771 0.843
Hg2 0.128 0.256 0.702
Hg3 0.115 0.229 0.343
Hg4 0.872 0.744 0.202
H1 0.557 0.113 0.912
H2 0.443 0.887 0.412
Au1 0.816 0.631 0.536
Au2 0.184 0.369 0.036
# **Total energy**: -2.33 eV per atom
# **SG**: Cmc2_1

***

Entry 3:
# CrPbCl4, optimized geometry, DFT PBE
data_CrPbCl4
_cell_length_a 5.970
_cell_length_b 5.970
_cell_length_c 5.970
_cell_angle_alpha 60.00
_cell_angle_beta 60.00
_cell_angle_gamma 60.00
_space_group_name_H-M_alt 'P 1'
_space_group_IT_number 1
loop_
_space_group_symop_operation_xyz
'x,y,z'
loop_
_atom_site_label
_atom_site_fract_x
_atom_site_fract_y
_atom_site_fract_z
Cr1 0.750 0.750 0.750
Pb1 0.000 0.000 0.000
Cl1 0.873 0.376 0.376
Cl2 0.376 0.376 0.873
Cl3 0.376 0.873 0.376
Cl4 0.376 0.376 0.376
# **SG**: F-43m
# **ΔE_f (raw)**: 0.351 eV per atom

***

Entry 4:
# LaYZr2, optimized geometry, DFT PBE
data_LaYZr2
_cell_length_a 5.801
_cell_length_b 5.801
_cell_length_c 6.090
_cell_angle_alpha 82.56
_cell_angle_beta 82.56
_cell_angle_gamma 33.26
_space_group_name_H-M_alt 'P 1'
_space_group_IT_number 1
loop_
_space_group_symop_operation_xyz
'x,y,z'
loop_
_atom_site_label
_atom_site_fract_x
_atom_site_fract_y
_atom_site_fract_z
La1 0.496 0.496 0.508
Y1 0.257 0.257 0.234
Zr1 0.006 0.006 0.986
Zr2 0.741 0.741 0.773
# **Formation energy from the elements**: 0.1541 eV per atom
# **SG**: Cm

***

Entry 5:
# Ce2Sc2Tl3, optimized geometry, DFT PBE
data_Ce2Sc2Tl3
_cell_length_a 4.327
_cell_length_b 3.323
_cell_length_c 12.290
_cell_angle_alpha 90.00
_cell_angle_beta 79.86
_cell_angle_gamma 90.00
_space_group_name_H-M_alt 'P 1'
_space_group_IT_number 1
loop_
_space_group_symop_operation_xyz
'x,y,z'
loop_
_atom_site_label
_atom_site_fract_x
_atom_site_fract_y
_atom_site_fract_z
Ce1 0.714 0.500 0.573
Ce2 0.286 0.500 0.427
Sc1 0.569 0.500 0.862
Sc2 0.431 0.500 0.138
Tl1 0.865 0.000 0.270
Tl2 0.000 0.000 0.000
Tl3 0.135 0.000 0.730
# **Formation energy from the elements**: -0.1688 eV per atom
# **SG**: Cmmm

***

Entry 6:
# Cs8As2Se, optimized geometry, DFT PBE
data_Cs8As2Se
_cell_length_a 6.159
_cell_length_b 8.760
_cell_length_c 10.994
_cell_angle_alpha 113.52
_cell_angle_beta 106.27
_cell_angle_gamma 90.00
_space_group_name_H-M_alt 'P 1'
_space_group_IT_number 1
loop_
_space_group_symop_operation_xyz
'x,y,z'
loop_
_atom_site_label
_atom_site_fract_x
_atom_site_fract_y
_atom_site_fract_z
Cs1 0.646 0.882 0.292
Cs2 0.354 0.590 0.707
Cs3 0.191 0.189 0.381
Cs4 0.000 0.266 0.001
Cs5 0.809 0.811 0.619
Cs6 0.646 0.410 0.293
Cs7 0.354 0.118 0.708
Cs8 0.000 0.734 0.999
As1 0.180 0.680 0.359
As2 0.820 0.320 0.641
Se1 0.500 0.000 0.000
# **SG**: C2/m
# **ΔE_f (raw)**: -0.455 eV per atom

***

Entry 7:
# Fe3Co2Ni, optimized geometry, DFT PBE
data_Fe3Co2Ni
_cell_length_a 2.435
_cell_length_b 2.435
_cell_length_c 10.503
_cell_angle_alpha 90.00
_cell_angle_beta 90.00
_cell_angle_gamma 90.00
_space_group_name_H-M_alt 'P 1'
_space_group_IT_number 1
loop_
_space_group_symop_operation_xyz
'x,y,z'
loop_
_atom_site_label
_atom_site_fract_x
_atom_site_fract_y
_atom_site_fract_z
Fe1 0.000 0.000 0.000
Fe2 0.000 0.000 0.671
Fe3 0.000 0.000 0.329
Co1 0.500 0.500 0.834
Co2 0.500 0.500 0.166
Ni1 0.500 0.500 0.500
# **Formation energy from the elements**: 0.1994 eV per atom
# **SG**: P4/mmm

***

Entry 8:
# LaSm4Se7, optimized geometry, DFT PBE
data_LaSm4Se7
_cell_length_a 4.079
_cell_length_b 7.221
_cell_length_c 12.476
_cell_angle_alpha 103.95
_cell_angle_beta 90.00
_cell_angle_gamma 106.41
_space_group_name_H-M_alt 'P 1'
_space_group_IT_number 1
loop_
_space_group_symop_operation_xyz
'x,y,z'
loop_
_atom_site_label
_atom_site_fract_x
_atom_site_fract_y
_atom_site_fract_z
La1 0.888 0.775 0.579
Sm1 0.701 0.401 0.815
Sm2 0.300 0.599 0.187
Sm3 0.001 0.001 0.002
Sm4 0.113 0.225 0.418
Se1 0.739 0.478 0.347
Se2 0.254 0.508 0.650
Se3 0.341 0.683 0.951
Se4 0.660 0.320 0.050
Se5 0.044 0.088 0.789
Se6 0.957 0.915 0.215
Se7 0.503 0.005 0.496
# **SG**: Cm
# **ΔE_f (raw)**: -1.894 eV per atom

***

Entry 9:
# SiTe2Cl, optimized geometry, DFT PBE
data_SiTe2Cl
_cell_length_a 4.082
_cell_length_b 4.415
_cell_length_c 5.751
_cell_angle_alpha 90.00
_cell_angle_beta 90.00
_cell_angle_gamma 90.00
_space_group_name_H-M_alt 'P 1'
_space_group_IT_number 1
loop_
_space_group_symop_operation_xyz
'x,y,z'
loop_
_atom_site_label
_atom_site_fract_x
_atom_site_fract_y
_atom_site_fract_z
Cl1 0.500 0.000 0.500
Si1 0.000 0.500 0.500
Te1 0.000 0.000 0.000
Te2 0.500 0.500 0.000
# **SG**: Pmmm
# **ΔE_f (raw)**: 0.356 eV per atom

***

Entry 10:
# CrInPb2, optimized geometry, DFT PBE
data_CrInPb2
_cell_length_a 5.785
_cell_length_b 5.785
_cell_length_c 5.785
_cell_angle_alpha 132.10
_cell_angle_beta 132.10
_cell_angle_gamma 70.08
_space_group_name_H-M_alt 'P 1'
_space_group_IT_number 1
loop_
_space_group_symop_operation_xyz
'x,y,z'
loop_
_atom_site_label
_atom_site_fract_x
_atom_site_fract_y
_atom_site_fract_z
Cr1 0.500 0.500 0.000
In1 0.750 0.250 0.500
Pb1 0.000 0.000 0.000
Pb2 0.250 0.750 0.500
# **Formation energy from the elements**: 0.3741 eV per atom
# **SG**: I-4m2

***

Entry 11:
# MnV2Cl, optimized geometry, DFT PBE
data_MnV2Cl
_cell_length_a 6.305
_cell_length_b 6.305
_cell_length_c 5.316
_cell_angle_alpha 53.63
_cell_angle_beta 53.63
_cell_angle_gamma 90.00
_space_group_name_H-M_alt 'P 1'
_space_group_IT_number 1
loop_
_space_group_symop_operation_xyz
'x,y,z'
loop_
_atom_site_label
_atom_site_fract_x
_atom_site_fract_y
_atom_site_fract_z
V1 0.609 0.125 0.250
V2 0.141 0.625 0.250
V3 0.375 0.391 0.750
V4 0.875 0.859 0.750
Mn1 0.000 0.000 0.000
Mn2 0.750 0.250 0.500
Cl1 0.500 0.500 0.000
Cl2 0.250 0.750 0.500
# **SG**: I-42d
# **ΔE_f (raw)**: 0.587 eV per atom

***

Entry 12:
# BaTe2AuN, optimized geometry, DFT PBE
data_BaTe2AuN
_cell_length_a 6.616
_cell_length_b 6.616
_cell_length_c 4.327
_cell_angle_alpha 90.00
_cell_angle_beta 90.00
_cell_angle_gamma 90.00
_space_group_name_H-M_alt 'P 1'
_space_group_IT_number 1
loop_
_space_group_symop_operation_xyz
'x,y,z'
loop_
_atom_site_label
_atom_site_fract_x
_atom_site_fract_y
_atom_site_fract_z
Te1 0.000 0.500 0.000
Te2 0.500 0.000 0.000
Au1 0.500 0.500 0.500
Ba1 0.000 0.000 0.000
N1 0.000 0.000 0.500
# **SG**: P4/mmm
# **ΔE_f (raw)**: 1.238 eV per atom

***

Entry 13:
# BeAlIO2, optimized geometry, DFT PBE
data_BeAlIO2
_cell_length_a 3.597
_cell_length_b 3.597
_cell_length_c 6.341
_cell_angle_alpha 90.00
_cell_angle_beta 90.00
_cell_angle_gamma 90.00
_space_group_name_H-M_alt 'P 1'
_space_group_IT_number 1
loop_
_space_group_symop_operation_xyz
'x,y,z'
loop_
_atom_site_label
_atom_site_fract_x
_atom_site_fract_y
_atom_site_fract_z
I1 0.000 0.000 0.500
Be1 0.500 0.500 0.500
Al1 0.000 0.000 0.000
O1 0.000 0.500 0.000
O2 0.500 0.000 0.000
# **SG**: P4/mmm
# **ΔE_f (raw)**: -0.833 eV per atom

***

Entry 14:
# Ce2Dy5Rh4, optimized geometry, DFT PBE
data_Ce2Dy5Rh4
_cell_length_a 3.697
_cell_length_b 7.815
_cell_length_c 11.494
_cell_angle_alpha 123.07
_cell_angle_beta 99.25
_cell_angle_gamma 90.00
_space_group_name_H-M_alt 'P 1'
_space_group_IT_number 1
loop_
_space_group_symop_operation_xyz
'x,y,z'
loop_
_atom_site_label
_atom_site_fract_x
_atom_site_fract_y
_atom_site_fract_z
Ce1 0.257 0.877 0.515
Ce2 0.743 0.123 0.485
Dy1 0.085 0.745 0.169
Dy2 0.915 0.255 0.831
Dy3 0.166 0.344 0.332
Dy4 0.500 0.000 0.000
Dy5 0.834 0.656 0.668
Rh1 0.656 0.616 0.312
Rh2 0.954 0.670 0.908
Rh3 0.344 0.384 0.688
Rh4 0.046 0.330 0.092
# **Formation energy from the elements**: -0.4167 eV per atom
# **SG**: C2/m

***

Entry 15:
# Mn3Fe3Ge2, optimized geometry, DFT PBE
data_Mn3Fe3Ge2
_cell_length_a 5.165
_cell_length_b 5.165
_cell_length_c 4.134
_cell_angle_alpha 90.00
_cell_angle_beta 90.00
_cell_angle_gamma 120.00
_space_group_name_H-M_alt 'P 1'
_space_group_IT_number 1
loop_
_space_group_symop_operation_xyz
'x,y,z'
loop_
_atom_site_label
_atom_site_fract_x
_atom_site_fract_y
_atom_site_fract_z
Mn1 0.986 0.493 0.000
Mn2 0.507 0.493 0.000
Mn3 0.507 0.014 0.000
Fe1 0.344 0.172 0.500
Fe2 0.828 0.172 0.500
Fe3 0.828 0.656 0.500
Ge1 0.333 0.667 0.500
Ge2 0.000 0.000 0.000
# **Formation energy from the elements**: -0.0511 eV per atom
# **SG**: P-6m2

***

Entry 16:
# Nd6Dy12Ho, optimized geometry, DFT PBE
data_Nd6Dy12Ho
_cell_length_a 8.698
_cell_length_b 8.698
_cell_length_c 8.698
_cell_angle_alpha 79.53
_cell_angle_beta 79.53
_cell_angle_gamma 79.53
_space_group_name_H-M_alt 'P 1'
_space_group_IT_number 1
loop_
_space_group_symop_operation_xyz
'x,y,z'
loop_
_atom_site_label
_atom_site_fract_x
_atom_site_fract_y
_atom_site_fract_z
Nd1 0.768 0.768 0.163
Nd2 0.837 0.232 0.232
Nd3 0.232 0.837 0.232
Nd4 0.232 0.232 0.837
Nd5 0.163 0.768 0.768
Nd6 0.768 0.163 0.768
Dy1 0.804 0.486 0.486
Dy2 0.486 0.804 0.486
Dy3 0.486 0.486 0.804
Dy4 0.196 0.514 0.514
Dy5 0.514 0.196 0.514
Dy6 0.514 0.514 0.196
Dy7 0.137 0.137 0.487
Dy8 0.863 0.513 0.863
Dy9 0.513 0.863 0.863
Dy10 0.863 0.863 0.513
Dy11 0.137 0.487 0.137
Dy12 0.487 0.137 0.137
Ho1 0.000 0.000 0.000
# **Formation energy from the elements**: 0.1245 eV per atom
# **SG**: R-3m

***

Entry 17:
# K3PtO3, optimized geometry, DFT PBE
data_K3PtO3
_cell_length_a 6.088
_cell_length_b 5.165
_cell_length_c 6.088
_cell_angle_alpha 106.43
_cell_angle_beta 112.34
_cell_angle_gamma 106.43
_space_group_name_H-M_alt 'P 1'
_space_group_IT_number 1
loop_
_space_group_symop_operation_xyz
'x,y,z'
loop_
_atom_site_label
_atom_site_fract_x
_atom_site_fract_y
_atom_site_fract_z
K1 0.559 0.998 0.000
K2 0.441 0.439 0.441
K3 0.000 0.998 0.559
Pt1 0.000 0.641 0.000
O1 0.668 0.539 0.000
O2 0.332 0.871 0.332
O3 0.000 0.539 0.668
# **SG**: R3m
# **ΔE_f (raw)**: -0.906 eV per atom

***

Entry 18:
# TlTePdN2, optimized geometry, DFT PBE
data_TlTePdN2
_cell_length_a 4.202
_cell_length_b 4.202
_cell_length_c 5.763
_cell_angle_alpha 90.00
_cell_angle_beta 90.00
_cell_angle_gamma 90.00
_space_group_name_H-M_alt 'P 1'
_space_group_IT_number 1
loop_
_space_group_symop_operation_xyz
'x,y,z'
loop_
_atom_site_label
_atom_site_fract_x
_atom_site_fract_y
_atom_site_fract_z
Tl1 0.500 0.500 0.500
Te1 0.000 0.000 0.500
Pd1 0.000 0.000 0.000
N1 0.000 0.500 0.000
N2 0.500 0.000 0.000
# **SG**: P4/mmm
# **ΔE_f (raw)**: 1.293 eV per atom